! Ba2ReIr | OQMD | PBE | relaxed; values from VASP
&SYSTEM
  ibrav = 0, nat = 4, ntyp = 3
/
ATOMIC_SPECIES
Ba 137.33 Ba.upf
Ir 192.22 Ir.upf
Re 186.21 Re.upf
ATOMIC_POSITIONS crystal
Ba 0.0000 0.0000 0.0000
Ba 0.7500 0.7500 0.7500
Ir 0.2500 0.2500 0.2500
Re 0.5000 0.5000 0.5000
CELL_PARAMETERS angstrom
0.0000 3.7449 3.7449
3.7449 0.0000 3.7449
3.7449 3.7449 0.0000
! calculated volume	105.0	Å³/f.u.
! total DFT energy (no corrections)	-5.08	eV/atom
! space group	F-43m (216)
! M_tot	3.7	μB per formula unit